[1]
Material: RbVGeBi2
Method: DFT, PBE-GGA
State: relaxed Values from VASP.

ΔH_f (0 K) = 1.81 eV per atom
energy = -13.395 eV/cell
ρ = 5.5 g/cm³
V = 38.0 Å³ per atom

```
&SYSTEM
  ibrav = 0, nat = 5, ntyp = 4
/
ATOMIC_SPECIES
V 50.94 V.upf
Rb 85.47 Rb.upf
Bi 208.98 Bi.upf
Ge 72.64 Ge.upf
CELL_PARAMETERS angstrom
6.090 0.000 0.000
0.000 5.119 0.000
0.000 0.000 6.090
ATOMIC_POSITIONS angstrom
V 0.000 2.559 0.000
Rb 0.000 0.000 0.000
Bi 0.000 0.000 3.045
Bi 3.045 0.000 0.000
Ge 3.045 2.559 3.045
```

---

[2]
Material: Tb3ScS6
Method: DFT, PBE-GGA
State: relaxed Values from VASP.

formation energy from raw total energies = -20.34 eV per formula unit
energy = -130.664 eV/cell
ρ = 4.8 g/cm³
V = 24.9 Å³ per atom

```
&SYSTEM
  ibrav = 0, nat = 20, ntyp = 3
/
ATOMIC_SPECIES
Tb 158.93 Tb.upf
Sc 44.96 Sc.upf
S 32.06 S.upf
CELL_PARAMETERS angstrom
-5.670 -1.742 5.267
-0.847 -7.058 -3.521
5.611 -2.871 4.816
ATOMIC_POSITIONS angstrom
Tb 1.000 -9.406 2.636
Tb 0.547 -6.983 6.882
Tb -3.450 -8.139 4.275
Tb -1.452 -4.688 -0.319
Tb -1.906 -2.265 3.927
Tb 2.545 -3.532 2.287
Sc -0.453 -5.835 3.281
Sc 0.000 0.000 0.000
S -2.065 -7.242 -1.229
S -3.550 -3.046 6.028
S -1.439 -8.047 2.448
S 1.160 -4.429 7.791
S 4.434 -4.939 3.763
S 0.778 -5.343 1.090
S -2.350 -4.410 2.318
S 1.444 -7.261 4.245
S 0.534 -3.624 4.115
S -5.340 -6.732 2.799
S -1.684 -6.327 5.473
S 2.645 -8.625 0.535
```

---

[3]
Material: Li2UTeO8
Method: DFT, PBE-GGA
State: relaxed Values from VASP.

formation energy from raw total energies = -19.10 eV per formula unit
energy = -77.019 eV/cell
ρ = 5.8 g/cm³
V = 12.1 Å³ per atom

```
&SYSTEM
  ibrav = 0, nat = 12, ntyp = 4
/
ATOMIC_SPECIES
Li 6.94 Li.upf
O 16.00 O.upf
U 238.03 U.upf
Te 127.60 Te.upf
CELL_PARAMETERS angstrom
5.709 0.743 0.000
-1.866 5.447 0.000
-1.922 -3.095 4.459
ATOMIC_POSITIONS angstrom
Li 1.922 3.095 0.000
Li 2.855 0.372 2.229
O 4.391 1.227 1.375
O 2.770 -1.384 3.083
O 0.000 1.712 3.555
O 3.456 3.854 0.903
O 2.940 2.128 3.083
O 0.387 2.336 0.903
O 1.319 -0.484 1.375
O 0.000 -1.712 3.555
U 0.000 0.000 0.000
Te -0.933 2.723 2.229
```

---

[4]
Material: AcMg3Ga2
Method: DFT, PBE-GGA
State: relaxed Values from VASP.

ΔH_f (0 K) = -0.35 eV per atom
energy = -34.036 eV/cell
ρ = 5.0 g/cm³
V = 24.3 Å³ per atom

```
&SYSTEM
  ibrav = 0, nat = 12, ntyp = 3
/
ATOMIC_SPECIES
Mg 24.30 Mg.upf
Ac 227.00 Ac.upf
Ga 69.72 Ga.upf
CELL_PARAMETERS angstrom
-1.889 2.678 -3.155
-6.718 -3.587 4.259
3.387 6.783 3.729
ATOMIC_POSITIONS angstrom
Mg -5.812 3.558 3.222
Mg -2.245 3.564 1.090
Mg -5.119 0.272 3.297
Mg 0.592 2.316 1.612
Mg -0.101 5.602 1.536
Mg -2.975 2.310 3.743
Ac -3.183 6.086 3.792
Ac -2.037 -0.211 1.041
Ga -4.584 1.981 1.147
Ga -0.681 2.349 -0.878
Ga -0.636 3.894 3.686
Ga -4.539 3.525 5.711
```

---

> energy of number 4 (AcMg3Ga2)?

-34.036 eV/cell